(1)
This record from Alexandria describes an optimized crystal structure of Tl3Co. The functional is PBE-GGA.

```
Tl3Co
1.0
-1.331 4.344 3.358
-5.244 1.799 -1.083
2.130 -5.124 1.059
Tl Co
3 1
Cartesian
-3.201 -0.127 0.557
-1.244 1.146 2.777
-3.287 3.071 1.138
0.000 0.000 0.000
```

## Properties
- SG: I4/mmm

---

(2)
This record from Alexandria describes an optimized crystal structure of Y12Er5Mg. The functional is PBE-GGA.

```
Y12Er5Mg
1.0
6.203 0.000 -0.394
3.102 5.383 -0.197
-0.991 0.000 17.109
Y Er Mg
12 5 1
Cartesian
2.953 3.609 14.053
2.989 0.000 14.052
5.360 1.774 2.464
5.325 5.383 2.465
4.854 3.589 11.069
4.854 0.000 11.078
1.753 1.794 11.266
3.459 1.794 5.448
6.561 3.589 5.251
0.358 0.000 5.636
6.055 1.774 13.856
2.259 3.609 2.661
2.606 0.000 8.357
6.204 3.587 -0.394
5.708 1.798 8.160
3.102 1.795 -0.197
2.606 3.585 8.357
0.000 0.000 0.000
```

## Properties
- SG: C2/m

---

(3)
This record from Alexandria describes an optimized crystal structure of La2Zn3Cu12Pd. The functional is PBE-GGA.

```
La2Zn3Cu12Pd
1.0
-4.054 -4.471 7.677
1.262 -7.380 6.269
1.388 -2.035 9.449
Zn Cu La Pd
3 12 2 1
Cartesian
-2.027 -2.236 3.838
0.694 -1.018 4.725
0.631 -3.690 3.135
-0.051 -6.608 13.464
-2.040 -8.695 18.211
1.033 -10.376 17.398
-2.113 -11.784 16.373
0.635 -5.192 5.184
-1.304 -5.209 11.163
-2.158 -7.551 12.778
0.709 -2.103 7.022
0.754 -6.335 10.617
-2.437 -3.511 5.997
-0.100 -8.678 12.232
-1.353 -7.279 9.931
-0.490 -4.848 8.167
-0.914 -9.039 15.228
0.000 0.000 0.000
```

## Properties
- SG: R-3m

---

What are the calculated volume values for these records? In order: 24.08; 31.62; 16.91 A^3/atom.
What are the electronic total energy values for these records? In order: -11.8; -101.7; -66.7 eV per formula unit.